Entry 1:
A plane-wave DFT calculation with GGA-PBE was carried out for a relaxed GeAs2Ir2 crystal.

Cell: 7.640 7.640 2.909 Å, 90.00 90.00 90.00°
Element x y z (fractional)
Ge 0.000 0.000 0.000
Ge 0.500 0.500 0.000
As 0.151 0.349 0.000
As 0.349 0.849 0.000
As 0.651 0.151 0.000
As 0.849 0.651 0.000
Ir 0.137 0.637 0.500
Ir 0.363 0.137 0.500
Ir 0.637 0.863 0.500
Ir 0.863 0.363 0.500

The calculation puts the raw total energy at -6.05 eV per atom. The total magnetization comes out at 0.000 Bohr magnetons per cell.

Entry 2:
A plane-wave DFT calculation with GGA-PBE was carried out for a relaxed SnO2F2 crystal.

Cell: 4.171 4.171 3.886 Å, 90.00 90.00 90.00°
Element x y z (fractional)
Sn 0.000 0.000 0.000
O 0.000 0.000 0.500
O 0.500 0.500 0.500
F 0.000 0.500 0.000
F 0.500 0.000 0.000

The total magnetization comes out at 2.001 Bohr magnetons per cell. The uncorrected formation energy comes out at -1002 meV/atom.

Entry 3:
A plane-wave DFT calculation with GGA-PBE was carried out for a relaxed BaCd4In2 crystal.

Cell: 4.848 16.545 4.815 Å, 90.00 90.00 90.00°
Element x y z (fractional)
Ba 0.000 0.000 0.000
Ba 0.500 0.500 0.000
Cd 0.000 0.187 0.500
Cd 0.000 0.309 0.000
Cd 0.000 0.691 0.000
Cd 0.000 0.813 0.500
Cd 0.500 0.191 0.000
Cd 0.500 0.313 0.500
Cd 0.500 0.687 0.500
Cd 0.500 0.809 0.000
In 0.000 0.412 0.500
In 0.000 0.588 0.500
In 0.500 0.088 0.500
In 0.500 0.912 0.500

The calculation puts the raw total energy at -1.81 eV per atom. The total magnetization comes out at 0.000 Bohr magnetons per cell.